Entry from the Open Quantum Materials Database: a relaxed MoCl2 crystal (GGA-PBE).

The value obtained for the energy above the most stable polymorph in this dataset is 2.356 eV/atom. As for the crystal system: cubic. The calculation puts the total magnetization at 32.02 μB/cell. As for the volume: 553.03 Å³ per cell.

It has space group Fd-3m (No. 227, origin choice 2), with a = 8.208 Å, b = 8.208 Å, c = 8.208 Å, α = 90.00°, β = 90.00° and γ = 90.00°. The inequivalent atoms are Mo at (0.125, 0.125, 0.125) and Cl at (0.000, 0.000, 0.500).

Entry from the Open Quantum Materials Database: a relaxed ZnO crystal (GGA-PBE).

The value obtained for the total energy is -54.50 eV/cell. As for the crystal system: hexagonal. As for the volume: 145.03 Å³ per cell.

It has space group P6_3mc (No. 186), with a = 3.2480 Å, b = 3.2480 Å, c = 15.8737 Å, α = 90.00°, β = 90.00° and γ = 120.00°. The inequivalent atoms are Zn at (0.0000, 0.0000, 0.0000), Zn at (0.3333, 0.6667, 0.1666), Zn at (0.3333, 0.6667, 0.8333), O at (0.0000, 0.0000, 0.1249), O at (0.3333, 0.6667, 0.2917) and O at (0.3333, 0.6667, 0.9585).

Entry from the Open Quantum Materials Database: a relaxed SmCdPO crystal (GGA-PBE).

The value obtained for the total energy is -43.25 eV/cell. As for the crystal system: orthorhombic. The calculation puts the total magnetization at 0.00 μB/cell. As for the volume: 167.95 Å³ per cell.

It has space group Pmc2_1 (No. 26), with a = 4.034 Å, b = 6.116 Å, c = 6.807 Å, α = 90.00°, β = 90.00° and γ = 90.00°. The inequivalent atoms are Sm at (0.000, 0.048, 0.000), Cd at (0.500, 0.407, 0.382), P at (0.500, 0.213, 0.729) and O at (0.000, 0.241, 0.282).

Entry from the Open Quantum Materials Database: a relaxed ThSb crystal (GGA-PBE).

The value obtained for the total energy is -50.38 eV/cell. As for the crystal system: orthorhombic. The calculation puts the total magnetization at 0.00 μB/cell. As for the volume: 240.26 Å³ per cell.

It has space group Pmma (No. 51), with a = 6.547 Å, b = 5.869 Å, c = 6.252 Å, α = 90.00°, β = 90.00° and γ = 90.00°. The inequivalent atoms are Th at (0.000, 0.000, 0.000), Th at (0.250, 0.500, 0.283), Sb at (0.250, 0.000, 0.483) and Sb at (0.250, 0.500, 0.790).

Entry from the Open Quantum Materials Database: a relaxed GdErCS crystal (GGA-PBE).

The value obtained for the total energy is -55.10 eV/cell. As for the crystal system: trigonal. The calculation puts the total magnetization at 0.00 μB/cell. As for the volume: 153.83 Å³ per cell.

It has space group P-3m1 (No. 164), with a = 3.7069 Å, b = 3.7069 Å, c = 12.9268 Å, α = 90.00°, β = 90.00° and γ = 120.00°. The inequivalent atoms are Gd at (0.3333, 0.6667, 0.3932), Er at (0.3333, 0.6667, 0.1018), C at (0.0000, 0.0000, 0.0000), C at (0.0000, 0.0000, 0.5000) and S at (0.3333, 0.6667, 0.7552).

Entry from the Open Quantum Materials Database: a relaxed ZrAg crystal (GGA-PBE).

The value obtained for the total energy is -91.29 eV/cell. As for the crystal system: orthorhombic. The calculation puts the total magnetization at 0.01 μB/cell. As for the volume: 320.00 Å³ per cell.

It has space group Pmmn (No. 59, origin choice 2), with a = 4.985 Å, b = 12.576 Å, c = 5.104 Å, α = 90.00°, β = 90.00° and γ = 90.00°. The inequivalent atoms are Zr at (0.250, 0.119, 0.190), Zr at (0.250, 0.250, 0.692), Zr at (0.250, 0.750, 0.725), Ag at (0.250, 0.501, 0.690) and Ag at (0.250, 0.623, 0.214).

Entry from the Open Quantum Materials Database: a relaxed BeGaCoW crystal (GGA-PBE).

The value obtained for the energy above the most stable polymorph in this dataset is 0.000 eV/atom. As for the crystal system: cubic. The calculation puts the total magnetization at 6.84 μB/cell. As for the volume: 197.32 Å³ per cell.

It has space group F-43m (No. 216), with a = 5.822 Å, b = 5.822 Å, c = 5.822 Å, α = 90.00°, β = 90.00° and γ = 90.00°. The inequivalent atoms are Be at (0.000, 0.000, 0.000), Ga at (0.250, 0.250, 0.250), Co at (0.000, 0.000, 0.500) and W at (0.250, 0.250, 0.750).

Entry from the Open Quantum Materials Database: a relaxed CsSmPb crystal (GGA-PBE).

The value obtained for the total energy is -34.33 eV/cell. As for the crystal system: cubic. The calculation puts the total magnetization at 0.00 μB/cell. As for the volume: 489.41 Å³ per cell.

It has space group F-43m (No. 216), with a = 7.881 Å, b = 7.881 Å, c = 7.881 Å, α = 90.00°, β = 90.00° and γ = 90.00°. The inequivalent atoms are Cs at (0.000, 0.000, 0.000), Sm at (0.250, 0.250, 0.250) and Pb at (0.000, 0.000, 0.500).